# 1
# PBE U2PdS2N2, optimized geometry
# **ρ**: 8.41 Mg/m³
data_U2PdS2N2
_chemical_formula_sum 'U2 Pd1 S2 N2'
_cell_length_a 3.8062
_cell_length_b 3.8062
_cell_length_c 10.6110
_cell_angle_alpha 90.00
_cell_angle_beta 90.00
_cell_angle_gamma 120.00
_symmetry_space_group_name_H-M 'P -3 m 1'
_symmetry_Int_Tables_number 164
_symmetry_space_group_name_Hall '-P 3 2"'
loop_
_atom_site_label
_atom_site_fract_x
_atom_site_fract_y
_atom_site_fract_z
U1 0.3333 0.6667 0.1357
Pd1 0.0000 0.0000 0.5000
S1 0.0000 0.0000 0.2860
N1 0.3333 0.6667 0.9229

=====

# 2
# PBE V2PdSN, optimized geometry
# **ρ**: 4.28 Mg/m³
data_V2PdSN
_chemical_formula_sum 'V2 Pd1 S1 N1'
_cell_length_a 4.7833
_cell_length_b 4.7833
_cell_length_c 4.3179
_cell_angle_alpha 90.00
_cell_angle_beta 90.00
_cell_angle_gamma 90.00
_symmetry_space_group_name_H-M 'P 4/m m m'
_symmetry_Int_Tables_number 123
_symmetry_space_group_name_Hall '-P 4 2'
loop_
_atom_site_label
_atom_site_fract_x
_atom_site_fract_y
_atom_site_fract_z
V1 0.0000 0.5000 0.0000
Pd1 0.0000 0.0000 0.0000
S1 0.0000 0.0000 0.5000
N1 0.5000 0.5000 0.5000

=====

# 3
# PBE Pd2WSN, optimized geometry
# **ρ**: 6.59 Mg/m³
data_Pd2WSN
_chemical_formula_sum 'Pd2 W1 S1 N1'
_cell_length_a 4.9677
_cell_length_b 4.9677
_cell_length_c 4.5214
_cell_angle_alpha 90.00
_cell_angle_beta 90.00
_cell_angle_gamma 90.00
_symmetry_space_group_name_H-M 'P 4/m m m'
_symmetry_Int_Tables_number 123
_symmetry_space_group_name_Hall '-P 4 2'
loop_
_atom_site_label
_atom_site_fract_x
_atom_site_fract_y
_atom_site_fract_z
Pd1 0.0000 0.5000 0.0000
W1 0.0000 0.0000 0.0000
S1 0.0000 0.0000 0.5000
N1 0.5000 0.5000 0.5000

=====

Number 1: electronic total energy -60.874 eV per formula unit, magnetization 2.03 Bohr magnetons per cell. Number 2: electronic total energy -25.565 eV per formula unit, magnetization 1.51 Bohr magnetons per cell. Number 3: electronic total energy -27.343 eV per formula unit, magnetization 2.39 Bohr magnetons per cell.